Record 1
# NaCuICl2

A geometry-optimized NaCuICl2 structure (GGA-PBE, Alexandria via LeMat-Bulk).

abc: 4.7670 4.7670 5.6407
angles: 90.00 90.00 90.00
Last column: nearest neighbours and their distance in Å.
Sites, in units of the cell vectors:
Na  0.0000  0.0000  0.0000  4 I 3.37, 8 Cl 3.69
Cu  0.5000  0.5000  0.5000  4 Cl 2.38
I  0.5000  0.5000  0.0000  2 Cu 2.82
Cl  0.0000  0.5000  0.5000  2 Cu 2.38
Cl  0.5000  0.0000  0.5000  2 Cu 2.38

Computed properties:
VASP energy ... -2.87 eV per atom
Formation energy from raw total energies ... -0.74 eV per atom
M_tot ... 0.0 μB/cell

Record 2
# NaCu2ICl8

A geometry-optimized NaCu2ICl8 structure (GGA-PBE, Alexandria via LeMat-Bulk).

abc: 6.5329 6.8285 8.5158
angles: 92.01 92.42 91.13
Last column: nearest neighbours and their distance in Å.
Sites, in units of the cell vectors:
Na  0.0000  0.0000  0.0000  4 Cl 2.68
Cu  0.4976  0.7493  0.4960  4 Cl 2.29-2.30
Cu  0.5024  0.2507  0.5040  4 Cl 2.29-2.30
I  0.0000  0.5000  0.0000  4 Cl 2.53-2.54
Cl  0.1531  0.7454  0.2046  1 I 2.54, 1 Na 2.68
Cl  0.2940  0.2750  0.0601  1 I 2.53, 1 Na 2.68
Cl  0.3093  0.5008  0.5980  2 Cu 2.29
Cl  0.3143  0.9994  0.6043  2 Cu 2.30
Cl  0.6857  0.0006  0.3957  2 Cu 2.30
Cl  0.6907  0.4992  0.4020  2 Cu 2.29
Cl  0.7060  0.7250  0.9399  1 I 2.53, 1 Na 2.68
Cl  0.8469  0.2546  0.7954  1 I 2.54, 1 Na 2.68

Computed properties:
VASP energy ... -2.74 eV per atom
Formation energy from raw total energies ... -0.58 eV per atom
M_tot ... 2.0 μB/cell

Record 3
# NaCuI2Cl

A geometry-optimized NaCuI2Cl structure (GGA-PBE, Alexandria via LeMat-Bulk).

abc: 5.6044 5.6044 4.6989
angles: 90.00 90.00 90.00
Last column: nearest neighbours and their distance in Å.
Sites, in units of the cell vectors:
Na  0.0000  0.0000  0.0000  8 I 3.66, 4 Cl 3.96
Cu  0.5000  0.5000  0.5000  2 Cl 2.35
I  0.0000  0.5000  0.5000  2 Cu 2.80
I  0.5000  0.0000  0.5000  2 Cu 2.80
Cl  0.5000  0.5000  0.0000  2 Cu 2.35

Computed properties:
VASP energy ... -2.64 eV per atom
Formation energy from raw total energies ... -0.57 eV per atom
M_tot ... 0.0 μB/cell

Record 4
# Cu4I2ClO

A geometry-optimized Cu4I2ClO structure (GGA-PBE, Alexandria via LeMat-Bulk).

abc: 8.4292 6.6502 6.3381
angles: 90.00 90.00 90.00
Last column: nearest neighbours and their distance in Å.
Sites, in units of the cell vectors:
Cu  0.0000  0.0834  0.0000  1 O 1.95
Cu  0.0000  0.9003  0.4124  1 O 1.89
Cu  0.1638  0.6592  0.9995  1 O 1.91
Cu  0.3362  0.3408  0.4995  1 O 1.91
Cu  0.5000  0.0997  0.9124  1 O 1.89
Cu  0.5000  0.9166  0.5000  1 O 1.95
Cu  0.6638  0.3408  0.4995  1 O 1.91
Cu  0.8362  0.6592  0.9995  1 O 1.91
I  0.2474  0.6925  0.6137  4 Cu 2.55-2.81
I  0.2526  0.3075  0.1137  4 Cu 2.55-2.81
I  0.7474  0.3075  0.1137  4 Cu 2.55-2.81
I  0.7526  0.6925  0.6137  4 Cu 2.55-2.81
Cl  0.0000  0.1545  0.6411  2 Cu 2.23-2.32
Cl  0.5000  0.8455  0.1411  2 Cu 2.23-2.32
O  0.0000  0.8165  0.1269  4 Cu 1.89-1.95
O  0.5000  0.1835  0.6269  4 Cu 1.89-1.95

Computed properties:
VASP energy ... -3.54 eV per atom
Formation energy from raw total energies ... -0.25 eV per atom
M_tot ... 0.0 μB/cell

Record 5
# CuPICl2

A geometry-optimized CuPICl2 structure (GGA-PBE, Alexandria via LeMat-Bulk).

abc: 5.4417 5.4417 5.4120
angles: 90.00 90.00 90.00
Last column: nearest neighbours and their distance in Å.
Sites, in units of the cell vectors:
Cu  0.0000  0.0000  0.0000  8 Cl 3.84, 4 P 3.85
P  0.5000  0.5000  0.0000  2 I 2.71
I  0.5000  0.5000  0.5000  2 P 2.71, 4 Cl 2.72
Cl  0.0000  0.5000  0.5000  2 I 2.72
Cl  0.5000  0.0000  0.5000  2 I 2.72

Computed properties:
VASP energy ... -1.97 eV per atom
Formation energy from raw total energies ... 0.98 eV per atom
M_tot ... 1.2 μB/cell
E above lowest polymorph ... 733 meV/atom

Record 6
# CuPICl2

A geometry-optimized CuPICl2 structure (GGA-PBE, Alexandria via LeMat-Bulk).

abc: 4.4794 4.4794 5.5832
angles: 90.00 90.00 90.00
Last column: nearest neighbours and their distance in Å.
Sites, in units of the cell vectors:
Cu  0.0000  0.0000  0.0000  4 Cl 2.24
P  0.0000  0.0000  0.5000  2 Cu 2.79
I  0.5000  0.5000  0.5000  4 P 3.17
Cl  0.0000  0.5000  0.0000  2 Cu 2.24
Cl  0.5000  0.0000  0.0000  2 Cu 2.24

Computed properties:
VASP energy ... -2.71 eV per atom
Formation energy from raw total energies ... 0.24 eV per atom
M_tot ... 0.0 μB/cell
E above lowest polymorph ... 0 meV/atom

Record 7
# CuP2ICl

A geometry-optimized CuP2ICl structure (GGA-PBE, Alexandria via LeMat-Bulk).

abc: 4.7178 4.7178 4.6020
angles: 90.00 90.00 90.00
Last column: nearest neighbours and their distance in Å.
Sites, in units of the cell vectors:
Cu  0.0000  0.0000  0.0000  2 Cl 2.30, 4 P 2.36
P  0.0000  0.5000  0.0000  2 Cu 2.36
P  0.5000  0.0000  0.0000  2 Cu 2.36
I  0.5000  0.5000  0.5000  8 P 3.30, 4 Cl 3.34
Cl  0.0000  0.0000  0.5000  2 Cu 2.30

Computed properties:
VASP energy ... -3.06 eV per atom
Formation energy from raw total energies ... 0.60 eV per atom
M_tot ... 0.0 μB/cell
E above lowest polymorph ... 0 meV/atom

Record 8
# Rb2CuICl

A geometry-optimized Rb2CuICl structure (GGA-PBE, Alexandria via LeMat-Bulk).

abc: 6.4906 6.4906 4.7706
angles: 90.00 90.00 90.00
Last column: nearest neighbours and their distance in Å.
Sites, in units of the cell vectors:
Rb  0.0000  0.5000  0.0000  2 Cl 3.25
Rb  0.5000  0.0000  0.0000  2 Cl 3.25
Cu  0.0000  0.0000  0.5000  2 Cl 2.39
I  0.5000  0.5000  0.5000  8 Rb 4.03
Cl  0.0000  0.0000  0.0000  2 Cu 2.39

Computed properties:
VASP energy ... -2.73 eV per atom
Formation energy from raw total energies ... -0.85 eV per atom
M_tot ... 0.0 μB/cell